{
  "formula": "GdHoBeCo",
  "functional": "PBE-GGA",
  "state": "relaxed",
  "mass_density_g_cm3": 8.4,
  "formation_energy_mev_per_atom": -16,
  "lattice_angstrom": [[4.775, 0.000, 0.000], [2.388, 4.136, 0.000], [2.388, 1.379, 3.899]],
  "species": ["Be", "Gd", "Co", "Ho"],
  "fractional_positions": [[0.500, 0.500, 0.500], [0.750, 0.750, 0.750], [0.000, 0.000, 0.000], [0.250, 0.250, 0.250]]
}